Computed, not measured: a relaxed structure of ThBeSi2Rh at the PBE level of DFT.

Values from the calculation:
**DOS at the Fermi energy**: 1.8 states/eV/f.u.
**M_tot**: 0.0 μB per formula unit
**Uncorrected energy**: -6.650 eV per atom
**Energy relative to the elements, uncorrected**: -3.905 eV per formula unit

Lattice parameters (Å, degrees): 4.043 4.043 10.144 90.00 90.00 90.00
Space group I-4m2 (No. 119)
Asymmetric unit:
Th 0.000 0.000 0.000 (multiplicity 2)
Be 0.000 0.500 0.250 (multiplicity 2)
Si 0.000 0.000 0.378 (multiplicity 4)
Rh 0.000 0.500 0.750 (multiplicity 2)

Computed, not measured: a relaxed structure of ThBe2SiRh4 at the PBE level of DFT.

Values from the calculation:
**DOS at the Fermi energy**: 4.1 states/eV/f.u.
**M_tot**: 0.0 μB per formula unit
**Uncorrected energy**: -6.963 eV per atom
**Energy relative to the elements, uncorrected**: -6.003 eV per formula unit

Lattice parameters (Å, degrees): 4.0304 4.0304 24.9221 90.00 90.00 120.00
Space group R-3m (No. 166, hexagonal axes)
Asymmetric unit:
Th 0.0000 0.0000 0.0000 (multiplicity 3)
Be 0.0000 0.0000 0.2339 (multiplicity 6)
Si 0.0000 0.0000 0.5000 (multiplicity 3)
Rh 0.0000 0.0000 0.1333 (multiplicity 6)
Rh 0.0000 0.0000 0.4022 (multiplicity 6)

Computed, not measured: a relaxed structure of Th3Be2SiRh9 at the PBE level of DFT.

Values from the calculation:
**DOS at the Fermi energy**: 10.1 states/eV/f.u.
**M_tot**: 0.0 μB per formula unit
**Uncorrected energy**: -7.571 eV per atom
**Energy relative to the elements, uncorrected**: -12.261 eV per formula unit

Lattice parameters (Å, degrees): 6.1935 6.1935 7.5586 90.00 90.00 120.00
Space group P-3m1 (No. 164)
Asymmetric unit:
Th 0.0000 0.0000 0.0000 (multiplicity 1)
Th 0.3333 0.6667 0.6731 (multiplicity 2)
Be 0.3333 0.6667 0.1535 (multiplicity 2)
Si 0.0000 0.0000 0.5000 (multiplicity 1)
Rh 0.0000 0.5000 0.0000 (multiplicity 3)
Rh 0.1732 0.3464 0.3286 (multiplicity 6)

Computed, not measured: a relaxed structure of Th4Be3SiRh12 at the PBE level of DFT.

Values from the calculation:
**DOS at the Fermi energy**: 18.5 states/eV/f.u.
**M_tot**: 0.0 μB per formula unit
**Uncorrected energy**: -7.525 eV per atom
**Energy relative to the elements, uncorrected**: -15.996 eV per formula unit

Lattice parameters (Å, degrees): 8.724 8.724 8.724 90.00 90.00 90.00
Space group Im-3m (No. 229)
Asymmetric unit:
Th 0.250 0.250 0.250 (multiplicity 8)
Be 0.000 0.000 0.500 (multiplicity 6)
Si 0.000 0.000 0.000 (multiplicity 2)
Rh 0.000 0.000 0.257 (multiplicity 12)
Rh 0.000 0.250 0.500 (multiplicity 12)